1.
Computed, not measured: an optimized crystal structure of Zn2CrTc at the GGA-PBE level of DFT.

Polymorph energy (0 for the lowest one) ... 0.106 eV/atom
Energy relative to the elements ... 145 meV per atom

Cell lengths 3.8924, 3.8924, 7.2258 Å; angles 90.00, 90.00, 90.00 degrees
Space group I-4m2 (No. 119)
Symmetry-distinct sites (fractional):
1 Zn 0.0000 0.0000 0.0000
2 Zn 0.0000 0.5000 0.2500
3 Cr 0.0000 0.5000 0.7500
4 Tc 0.0000 0.0000 0.5000

***

2.
Computed, not measured: an optimized crystal structure of Li4YSb at the GGA-PBE level of DFT.

Formation energy (no corrections) ... -144 meV/atom

Cell lengths 7.8909, 7.8909, 7.8909 Å; angles 90.00, 90.00, 90.00 degrees
Space group F-43m (No. 216)
Symmetry-distinct sites (fractional):
1 Li 0.1247 0.1247 0.1247
2 Y 0.0000 0.0000 0.5000
3 Sb 0.2500 0.2500 0.7500

***

3.
Computed, not measured: an optimized crystal structure of LaTl2Sn2 at the GGA-PBE level of DFT.

Polymorph energy (0 for the lowest one) ... 0.000 eV/atom
Energy relative to the elements ... -199 meV per atom

Cell lengths 4.5429, 4.5429, 15.4712 Å; angles 90.00, 90.00, 90.00 degrees
Space group I4/mmm (No. 139)
Symmetry-distinct sites (fractional):
1 La 0.0000 0.0000 0.0000
2 Tl 0.0000 0.5000 0.2500
3 Sn 0.0000 0.0000 0.4072

***

4.
Computed, not measured: an optimized crystal structure of CdGa4S7 at the GGA-PBE level of DFT.

Formation energy (no corrections) ... -625 meV/atom

Cell lengths 15.3595, 6.4988, 6.2531 Å; angles 90.00, 90.00, 90.00 degrees
Space group Pmn2_1 (No. 31)
Symmetry-distinct sites (fractional):
1 Cd 0.0000 0.2358 0.0000
2 Ga 0.1258 0.3480 0.4692
3 Ga 0.2401 0.8256 0.4602
4 S 0.0000 0.1589 0.3900
5 S 0.1176 0.6724 0.3517
6 S 0.1388 0.3487 0.8390
7 S 0.2474 0.1648 0.3397

***

5.
Computed, not measured: an optimized crystal structure of Y2HoMgRh4 at the GGA-PBE level of DFT.

Energy relative to the elements ... -795 meV per atom

Cell lengths 4.7492, 4.7492, 23.2785 Å; angles 90.00, 90.00, 120.00 degrees
Space group R-3m (No. 166, hexagonal axes)
Symmetry-distinct sites (fractional):
1 Y 0.0000 0.0000 0.2450
2 Ho 0.0000 0.0000 0.0000
3 Mg 0.0000 0.0000 0.5000
4 Rh 0.0000 0.0000 0.1243
5 Rh 0.0000 0.0000 0.3757

***

6.
Computed, not measured: an optimized crystal structure of KC2 at the GGA-PBE level of DFT.

Polymorph energy (0 for the lowest one) ... 0.716 eV/atom
Energy relative to the elements ... 1221 meV per atom

Cell lengths 4.6941, 4.6941, 3.6618 Å; angles 90.00, 90.00, 120.00 degrees
Space group P-6m2 (No. 187)
Symmetry-distinct sites (fractional):
1 K 0.0000 0.0000 0.0000
2 C 0.6667 0.3333 0.3262

***

7.
Computed, not measured: an optimized crystal structure of In2HgP at the GGA-PBE level of DFT.

Polymorph energy (0 for the lowest one) ... 0.238 eV/atom
Energy relative to the elements ... 214 meV per atom

Cell lengths 7.0203, 7.0651, 3.7805 Å; angles 90.00, 90.00, 90.00 degrees
Space group Cmmm (No. 65)
Symmetry-distinct sites (fractional):
1 In 0.2500 0.2500 0.0000
2 Hg 0.0000 0.0000 0.5000
3 P 0.0000 0.5000 0.5000

***

8.
Computed, not measured: an optimized crystal structure of BeAg2Sn at the GGA-PBE level of DFT.

Polymorph energy (0 for the lowest one) ... 0.133 eV/atom
Energy relative to the elements ... 508 meV per atom

Cell lengths 3.0286, 3.0286, 29.3170 Å; angles 90.00, 90.00, 120.00 degrees
Space group R-3m (No. 166, hexagonal axes)
Symmetry-distinct sites (fractional):
1 Be 0.0000 0.0000 0.0000
2 Ag 0.0000 0.0000 0.0776
3 Sn 0.0000 0.0000 0.5000

***

Values of calculated density, in order: 8.52, 3.22, 8.17, 3.28, 8.53, 1.50, 8.17, 7.35, all in g/cm³.
Values of VASP energy, in order: -5.489, -3.184, -3.732, -4.118, -6.859, -5.294, -2.583, -2.850, all in eV per atom.